Compound: Ca3TlPb2
Source: Alexandria
Functional: PBE
Structure: relaxed

Cell lengths 3.898, 3.898, 11.933 Å; angles 90.00, 90.00, 90.00 degrees
Positions (direct):
Ca 0.000 0.000 0.000
Ca 0.000 0.000 0.661
Ca 0.000 0.000 0.339
Tl 0.500 0.500 0.500
Pb 0.500 0.500 0.827
Pb 0.500 0.500 0.173

Values from the calculation:
E above lowest polymorph	11.1	meV per atom
DFT formation energy	-0.498	eV per atom
theoretical density	6.767	g cm⁻³
E	-18.78	eV for the cell shown

Compound: ZrCrTc2
Source: Alexandria
Functional: PBE
Structure: relaxed

Cell lengths 3.144, 4.511, 4.386 Å; angles 90.00, 90.00, 90.00 degrees
Positions (direct):
Cr 0.000 0.500 0.500
Tc 0.000 0.000 0.000
Tc 0.500 0.500 0.000
Zr 0.500 0.000 0.500

Values from the calculation:
DFT formation energy	0.024	eV per atom
theoretical density	9.056	g cm⁻³
E	-38.81	eV for the cell shown